The following is a DFT calculation (GGA+U) of a relaxed structure of CsMoPtF2.

```
CsMoPtF2
1.0
4.263 0.000 0.000
0.000 4.263 0.000
0.000 0.000 8.321
Cs Mo Pt F
1 1 1 2
direct
0.000 0.000 0.000 Cs
0.000 0.000 0.500 Mo
0.500 0.500 0.000 Pt
0.000 0.500 0.500 F
0.500 0.000 0.500 F
```

The total moment comes out at 0.797 μB per atom. Its raw total energy is -4.29 eV/atom. As for the symmetry: P4/mmm.